Entry 1:
GGA-PBE InReTeN2, optimized geometry; size of the total moment = 1.3 μB per formula unit; E = -4.812 eV per atom; E above lowest polymorph = 1.666 eV/atom
1.0
4.180 0.000 0.000
0.000 4.180 0.000
0.000 0.000 6.302
N Re Te In
2 1 1 1
direct
0.500 0.000 0.000 N
0.000 0.500 0.000 N
0.500 0.500 0.500 Re
0.000 0.000 0.500 Te
0.000 0.000 0.000 In



Entry 2:
GGA-PBE ZrTa3Al, optimized geometry; size of the total moment = 0.0 μB per formula unit; E = -7.687 eV per atom; E above lowest polymorph = 0.843 eV/atom; formation energy from the elements = 1.883 eV per atom
1.0
-1.643 -4.411 -1.329
2.099 -1.973 3.953
-4.101 0.758 2.556
Ta Al Zr
3 1 1
direct
0.500 0.000 0.000 Ta
0.000 0.500 0.000 Ta
0.000 0.000 0.500 Ta
0.500 0.500 0.500 Al
0.000 0.000 0.000 Zr



- What is the formula in the first record?
  InReTeN2